# 1
Ba4PtCl2 after structural relaxation. Source: Alexandria via LeMat-Bulk, functional PBE.

Cell and atoms, written as CIF:
```
data_Ba4PtCl2
_cell_length_a 6.193
_cell_length_b 6.193
_cell_length_c 9.041
_cell_angle_alpha 69.97
_cell_angle_beta 69.97
_cell_angle_gamma 90.00
_symmetry_space_group_name_H-M 'P 1'
_symmetry_Int_Tables_number 1
_symmetry_space_group_name_Hall 'P 1'
loop_
_atom_site_label
_atom_site_type_symbol
_atom_site_fract_x
_atom_site_fract_y
_atom_site_fract_z
_atom_site_occupancy
Pt1 Pt 0.000 0.000 0.000 1
Ba1 Ba 0.000 0.500 0.000 1
Ba2 Ba 0.792 0.792 0.417 1
Cl1 Cl 0.400 0.400 0.201 1
Cl2 Cl 0.600 0.600 0.799 1
Ba3 Ba 0.500 0.000 0.000 1
Ba4 Ba 0.208 0.208 0.583 1
```

## Properties
- space-group type = I4/mmm (139)
- DOS at the Fermi energy (states/eV/atom) = 0.775
- crystal system = tetragonal
- formation energy (no corrections) (eV per atom) = -1.172
- size of the total moment (μB per cell) = 0.00

# 2
Ba8Pt4Cl after structural relaxation. Source: Alexandria via LeMat-Bulk, functional PBE.

Cell and atoms, written as CIF:
```
data_Ba8Pt4Cl
_cell_length_a 4.624
_cell_length_b 11.751
_cell_length_c 11.629
_cell_angle_alpha 82.61
_cell_angle_beta 78.53
_cell_angle_gamma 78.65
_symmetry_space_group_name_H-M 'P 1'
_symmetry_Int_Tables_number 1
_symmetry_space_group_name_Hall 'P 1'
loop_
_atom_site_label
_atom_site_type_symbol
_atom_site_fract_x
_atom_site_fract_y
_atom_site_fract_z
_atom_site_occupancy
Pt1 Pt 0.649 0.524 0.178 1
Pt2 Pt 0.164 0.166 0.507 1
Ba1 Ba 0.138 0.396 0.327 1
Pt3 Pt 0.836 0.820 0.508 1
Pt4 Pt 0.349 0.460 0.841 1
Ba2 Ba 0.207 0.923 0.663 1
Ba3 Ba 0.460 0.717 0.363 1
Cl1 Cl 0.662 0.811 0.865 1
Ba4 Ba 0.836 0.334 0.993 1
Ba5 Ba 0.854 0.596 0.697 1
Ba6 Ba 0.790 0.063 0.358 1
Ba7 Ba 0.161 0.654 0.024 1
Ba8 Ba 0.539 0.269 0.653 1
```

## Properties
- space-group type = Cm (8)
- DOS at the Fermi energy (states/eV/atom) = 0.463
- crystal system = monoclinic
- formation energy (no corrections) (eV per atom) = -0.818
- size of the total moment (μB per cell) = 0.00